# 1
Entry from Alexandria via LeMat-Bulk: a relaxed structure of Mn3VSb (GGA-PBE).

```
data_Mn3VSb
_chemical_formula_sum 'Mn3 V1 Sb1'
_symmetry_space_group_name_H-M 'P 1'
_symmetry_Int_Tables_number 1
_symmetry_space_group_name_Hall 'P 1'
_cell_length_a 4.4740
_cell_length_b 4.4740
_cell_length_c 4.4740
_cell_angle_alpha 90.00
_cell_angle_beta 90.00
_cell_angle_gamma 90.00
loop_
_atom_site_label
_atom_site_type_symbol
_atom_site_fract_x
_atom_site_fract_y
_atom_site_fract_z
Mn1 Mn 0.0000 0.0000 0.5000
Mn2 Mn 0.0000 0.5000 0.0000
Mn3 Mn 0.5000 0.0000 0.0000
V1 V 0.0000 0.0000 0.0000
Sb1 Sb 0.5000 0.5000 0.5000
```

## Properties
ΔE to the lowest computed polymorph	0	meV/atom
crystal system	cubic
energy	-7.345	eV per atom
space group	Pm-3m (221)

# 2
Entry from Alexandria via LeMat-Bulk: a relaxed structure of MnVSb (GGA-PBE).

```
data_MnVSb
_chemical_formula_sum 'Mn4 V4 Sb4'
_symmetry_space_group_name_H-M 'P 1'
_symmetry_Int_Tables_number 1
_symmetry_space_group_name_Hall 'P 1'
_cell_length_a 3.2919
_cell_length_b 13.4940
_cell_length_c 4.9469
_cell_angle_alpha 90.00
_cell_angle_beta 90.00
_cell_angle_gamma 90.00
loop_
_atom_site_label
_atom_site_type_symbol
_atom_site_fract_x
_atom_site_fract_y
_atom_site_fract_z
Mn1 Mn 0.0000 0.0000 0.0000
Mn2 Mn 0.0000 0.0000 0.5000
Mn3 Mn 0.5000 0.5000 0.0000
Mn4 Mn 0.5000 0.5000 0.5000
V1 V 0.0000 0.1577 0.2500
V2 V 0.0000 0.8423 0.7500
V3 V 0.5000 0.3423 0.7500
V4 V 0.5000 0.6577 0.2500
Sb1 Sb 0.0000 0.3661 0.2500
Sb2 Sb 0.0000 0.6339 0.7500
Sb3 Sb 0.5000 0.1339 0.7500
Sb4 Sb 0.5000 0.8661 0.2500
```

## Properties
crystal system	orthorhombic
energy	-7.104	eV per atom
space group	Cmcm (63)

# 3
Entry from Alexandria via LeMat-Bulk: a relaxed structure of MnVSb4 (GGA-PBE).

```
data_MnVSb4
_chemical_formula_sum 'Mn1 V1 Sb4'
_symmetry_space_group_name_H-M 'P 1'
_symmetry_Int_Tables_number 1
_symmetry_space_group_name_Hall 'P 1'
_cell_length_a 5.8856
_cell_length_b 3.5527
_cell_length_c 6.3522
_cell_angle_alpha 90.00
_cell_angle_beta 91.84
_cell_angle_gamma 90.00
loop_
_atom_site_label
_atom_site_type_symbol
_atom_site_fract_x
_atom_site_fract_y
_atom_site_fract_z
Mn1 Mn 0.0000 0.0000 0.0000
V1 V 0.5000 0.5000 0.0000
Sb1 Sb 0.1671 0.5000 0.2833
Sb2 Sb 0.3261 0.0000 0.7138
Sb3 Sb 0.6739 0.0000 0.2862
Sb4 Sb 0.8329 0.5000 0.7167
```

## Properties
crystal system	monoclinic
energy	-5.696	eV per atom
space group	P2/m (10)

# 4
Entry from Alexandria via LeMat-Bulk: a relaxed structure of MnVSb (GGA-PBE).

```
data_MnVSb
_chemical_formula_sum 'Mn2 V2 Sb2'
_symmetry_space_group_name_H-M 'P 1'
_symmetry_Int_Tables_number 1
_symmetry_space_group_name_Hall 'P 1'
_cell_length_a 4.4811
_cell_length_b 4.4811
_cell_length_c 5.3918
_cell_angle_alpha 90.00
_cell_angle_beta 90.00
_cell_angle_gamma 120.00
loop_
_atom_site_label
_atom_site_type_symbol
_atom_site_fract_x
_atom_site_fract_y
_atom_site_fract_z
Mn1 Mn 0.3333 0.6667 0.2500
Mn2 Mn 0.6667 0.3333 0.7500
V1 V 0.0000 0.0000 0.0000
V2 V 0.0000 0.0000 0.5000
Sb1 Sb 0.3333 0.6667 0.7500
Sb2 Sb 0.6667 0.3333 0.2500
```

## Properties
crystal system	hexagonal
energy	-7.358	eV per atom
space group	P6_3/mmc (194)

# 5
Entry from Alexandria via LeMat-Bulk: a relaxed structure of MnSbW2 (GGA-PBE).

```
data_MnSbW2
_chemical_formula_sum 'Mn1 Sb1 W2'
_symmetry_space_group_name_H-M 'P 1'
_symmetry_Int_Tables_number 1
_symmetry_space_group_name_Hall 'P 1'
_cell_length_a 3.2295
_cell_length_b 4.3577
_cell_length_c 4.5101
_cell_angle_alpha 90.00
_cell_angle_beta 90.00
_cell_angle_gamma 90.00
loop_
_atom_site_label
_atom_site_type_symbol
_atom_site_fract_x
_atom_site_fract_y
_atom_site_fract_z
Mn1 Mn 0.0000 0.0000 0.0000
Sb1 Sb 0.5000 0.5000 0.0000
W1 W 0.0000 0.5000 0.5000
W2 W 0.5000 0.0000 0.5000
```

## Properties
crystal system	orthorhombic
energy	-9.318	eV per atom
space group	Pmmm (47)

# 6
Entry from Alexandria via LeMat-Bulk: a relaxed structure of MnSb2W (GGA-PBE).

```
data_MnSb2W
_chemical_formula_sum 'Mn4 Sb8 W4'
_symmetry_space_group_name_H-M 'P 1'
_symmetry_Int_Tables_number 1
_symmetry_space_group_name_Hall 'P 1'
_cell_length_a 6.3461
_cell_length_b 6.3461
_cell_length_c 11.8115
_cell_angle_alpha 90.00
_cell_angle_beta 90.00
_cell_angle_gamma 90.00
loop_
_atom_site_label
_atom_site_type_symbol
_atom_site_fract_x
_atom_site_fract_y
_atom_site_fract_z
Mn1 Mn 0.0000 0.0000 0.0000
Mn2 Mn 0.0000 0.5000 0.2500
Mn3 Mn 0.5000 0.0000 0.7500
Mn4 Mn 0.5000 0.5000 0.5000
Sb1 Sb 0.2441 0.2500 0.6250
Sb2 Sb 0.2500 0.7441 0.8750
Sb3 Sb 0.2500 0.7559 0.3750
Sb4 Sb 0.2559 0.2500 0.1250
Sb5 Sb 0.7441 0.7500 0.1250
Sb6 Sb 0.7500 0.2441 0.3750
Sb7 Sb 0.7500 0.2559 0.8750
Sb8 Sb 0.7559 0.7500 0.6250
W1 W 0.0000 0.0000 0.5000
W2 W 0.0000 0.5000 0.7500
W3 W 0.5000 0.0000 0.2500
W4 W 0.5000 0.5000 0.0000
```

## Properties
ΔE to the lowest computed polymorph	744	meV/atom
crystal system	tetragonal
energy	-6.624	eV per atom
space group	I-42d (122)

# 7
Entry from Alexandria via LeMat-Bulk: a relaxed structure of MnSbW2 (GGA-PBE).

```
data_MnSbW2
_chemical_formula_sum 'Mn2 Sb2 W4'
_symmetry_space_group_name_H-M 'P 1'
_symmetry_Int_Tables_number 1
_symmetry_space_group_name_Hall 'P 1'
_cell_length_a 4.0962
_cell_length_b 4.2961
_cell_length_c 7.3278
_cell_angle_alpha 90.00
_cell_angle_beta 90.00
_cell_angle_gamma 90.00
loop_
_atom_site_label
_atom_site_type_symbol
_atom_site_fract_x
_atom_site_fract_y
_atom_site_fract_z
Mn1 Mn 0.0000 0.0000 0.0000
Mn2 Mn 0.5000 0.5000 0.0000
Sb1 Sb 0.0000 0.0000 0.5000
Sb2 Sb 0.5000 0.5000 0.5000
W1 W 0.0000 0.5000 0.2145
W2 W 0.0000 0.5000 0.7855
W3 W 0.5000 0.0000 0.2145
W4 W 0.5000 0.0000 0.7855
```

## Properties
crystal system	orthorhombic
energy	-9.274	eV per atom
space group	Cmmm (65)

# 8
Entry from Alexandria via LeMat-Bulk: a relaxed structure of MnSb2W (GGA-PBE).

```
data_MnSb2W
_chemical_formula_sum 'Mn1 Sb2 W1'
_symmetry_space_group_name_H-M 'P 1'
_symmetry_Int_Tables_number 1
_symmetry_space_group_name_Hall 'P 1'
_cell_length_a 3.3918
_cell_length_b 3.3918
_cell_length_c 6.5954
_cell_angle_alpha 90.00
_cell_angle_beta 90.00
_cell_angle_gamma 90.00
loop_
_atom_site_label
_atom_site_type_symbol
_atom_site_fract_x
_atom_site_fract_y
_atom_site_fract_z
Mn1 Mn 0.0000 0.0000 0.0000
Sb1 Sb 0.5000 0.5000 0.2571
Sb2 Sb 0.5000 0.5000 0.7429
W1 W 0.0000 0.0000 0.5000
```

## Properties
ΔE to the lowest computed polymorph	239	meV/atom
crystal system	tetragonal
energy	-7.130	eV per atom
space group	P4/mmm (123)

| no. | uncorrected formation energy (eV per atom) |
| --- | --- |
| 1 | 0.805 |
| 2 | 0.367 |
| 3 | 0.100 |
| 4 | 0.112 |
| 5 | 0.482 |
| 6 | 0.968 |
| 7 | 0.525 |
| 8 | 0.462 |